(1)
DFT (GGA-PBE) results for crystalline PrSc5Cd4 at its relaxed geometry.

a = 3.523 Å, b = 3.523 Å, c = 19.114 Å
α = 90.00°, β = 90.00°, γ = 90.00°
Sites, in units of the cell vectors:
Pr 0.000 0.000 0.000
Sc 0.500 0.500 0.127
Sc 0.500 0.500 0.314
Sc 0.500 0.500 0.500
Sc 0.500 0.500 0.686
Sc 0.500 0.500 0.873
Cd 0.000 0.000 0.220
Cd 0.000 0.000 0.406
Cd 0.000 0.000 0.594
Cd 0.000 0.000 0.780

Space group: P4/mmm, No. 123
ΔH_f (0 K) in kcal/mol of atoms: -5.02

(2)
DFT (GGA-PBE) results for crystalline Ba2LiEu at its relaxed geometry.

a = 14.211 Å, b = 14.211 Å, c = 14.211 Å
α = 16.58°, β = 16.58°, γ = 16.58°
Sites, in units of the cell vectors:
Ba 0.085 0.085 0.085
Ba 0.915 0.915 0.915
Li 0.000 0.000 0.000
Eu 0.500 0.500 0.500

Space group: R-3m, No. 166
ΔH_f (0 K) in kcal/mol of atoms: 5.11
E above lowest polymorph in eV per atom: 0.167

(3)
DFT (GGA-PBE) results for crystalline SrCdInH2 at its relaxed geometry.

a = 4.499 Å, b = 4.499 Å, c = 6.996 Å
α = 90.00°, β = 90.00°, γ = 90.00°
Sites, in units of the cell vectors:
Sr 0.000 0.000 0.000
Cd 0.000 0.000 0.500
In 0.500 0.500 0.500
H 0.000 0.500 0.000
H 0.500 0.000 0.000

VASP energy in eV per atom: -2.27
Space group: P4/mmm, No. 123

(4)
DFT (GGA-PBE) results for crystalline SrNbAu at its relaxed geometry.

a = 3.588 Å, b = 4.511 Å, c = 9.377 Å
α = 90.00°, β = 90.00°, γ = 90.00°
Sites, in units of the cell vectors:
Sr 0.250 0.250 0.150
Sr 0.750 0.750 0.850
Nb 0.250 0.750 0.487
Nb 0.750 0.250 0.513
Au 0.250 0.250 0.739
Au 0.750 0.750 0.261

Space group: Pmmn, No. 59
ΔH_f (0 K) in kcal/mol of atoms: -2.29
E above lowest polymorph in eV per atom: 0.036

(5)
DFT (GGA-PBE) results for crystalline Ta2NiPt at its relaxed geometry.

a = 4.778 Å, b = 4.778 Å, c = 4.942 Å
α = 101.08°, β = 101.08°, γ = 34.99°
Sites, in units of the cell vectors:
Ta 0.000 0.000 0.000
Ta 0.245 0.245 0.687
Ni 0.501 0.501 0.500
Pt 0.754 0.754 0.215

Space group: Cm, No. 8
ΔH_f (0 K) in kcal/mol of atoms: -7.66

(6)
DFT (GGA-PBE) results for crystalline CdFeAu2 at its relaxed geometry.

a = 9.461 Å, b = 9.461 Å, c = 9.461 Å
α = 17.97°, β = 17.97°, γ = 17.97°
Sites, in units of the cell vectors:
Cd 0.000 0.000 0.000
Fe 0.500 0.500 0.500
Au 0.243 0.243 0.243
Au 0.757 0.757 0.757

Space group: R-3m, No. 166
ΔH_f (0 K) in kcal/mol of atoms: 2.20

(7)
DFT (GGA-PBE) results for crystalline NaYSe2N at its relaxed geometry.

a = 5.172 Å, b = 5.172 Å, c = 4.178 Å
α = 90.00°, β = 90.00°, γ = 90.00°
Sites, in units of the cell vectors:
Na 0.000 0.000 0.000
Y 0.500 0.500 0.500
Se 0.000 0.500 0.000
Se 0.500 0.000 0.000
N 0.000 0.000 0.500

Space group: P4/mmm, No. 123
E above lowest polymorph in eV per atom: 0.552

(8)
DFT (GGA-PBE) results for crystalline MgRe2Se at its relaxed geometry.

a = 5.940 Å, b = 5.940 Å, c = 5.940 Å
α = 99.96°, β = 99.96°, γ = 130.86°
Sites, in units of the cell vectors:
Mg 0.000 0.000 0.000
Mg 0.750 0.250 0.500
Re 0.194 0.625 0.069
Re 0.375 0.444 0.569
Re 0.556 0.125 0.931
Re 0.875 0.806 0.431
Se 0.250 0.750 0.500
Se 0.500 0.500 0.000

Space group: I-42d, No. 122
E above lowest polymorph in eV per atom: 0.750

(9)
DFT (GGA-PBE) results for crystalline Cr2CdPt at its relaxed geometry.

a = 4.934 Å, b = 4.934 Å, c = 4.817 Å
α = 101.49°, β = 101.49°, γ = 33.73°
Sites, in units of the cell vectors:
Cr 0.240 0.240 0.162
Cr 0.760 0.760 0.838
Cd 0.000 0.000 0.500
Pt 0.500 0.500 0.000

Space group: C2/m, No. 12
ΔH_f (0 K) in kcal/mol of atoms: 5.39

(10)
DFT (GGA-PBE) results for crystalline Ba3TaBe2O8 at its relaxed geometry.

a = 5.572 Å, b = 5.572 Å, c = 7.370 Å
α = 90.00°, β = 90.00°, γ = 120.00°
Sites, in units of the cell vectors:
Ba 0.000 0.000 0.000
Ba 0.333 0.667 0.692
Ba 0.667 0.333 0.308
Ta 0.000 0.000 0.500
Be 0.333 0.667 0.259
Be 0.667 0.333 0.741
O 0.170 0.339 0.341
O 0.170 0.830 0.341
O 0.333 0.667 0.043
O 0.339 0.170 0.659
O 0.661 0.830 0.341
O 0.667 0.333 0.957
O 0.830 0.170 0.659
O 0.830 0.661 0.659

VASP energy in eV per atom: -7.29
Space group: P-3m1, No. 164

(11)
DFT (GGA-PBE) results for crystalline Dy8Er4Zr at its relaxed geometry.

a = 7.005 Å, b = 7.339 Å, c = 8.136 Å
α = 95.50°, β = 99.57°, γ = 91.86°
Sites, in units of the cell vectors:
Dy 0.159 0.176 0.174
Dy 0.193 0.672 0.164
Dy 0.300 0.291 0.806
Dy 0.312 0.734 0.770
Dy 0.688 0.266 0.230
Dy 0.700 0.709 0.194
Dy 0.807 0.328 0.836
Dy 0.841 0.824 0.826
Er 0.000 0.000 0.500
Er 0.000 0.500 0.500
Er 0.500 0.000 0.500
Er 0.500 0.500 0.500
Zr 0.500 0.000 0.000

Space group: P-1, No. 2
ΔH_f (0 K) in kcal/mol of atoms: 5.45

(12)
DFT (GGA-PBE) results for crystalline PrPu6Ge6 at its relaxed geometry.

a = 6.077 Å, b = 6.077 Å, c = 9.971 Å
α = 90.00°, β = 90.00°, γ = 120.00°
Sites, in units of the cell vectors:
Pr 0.000 0.000 0.000
Pu 0.000 0.500 0.253
Pu 0.000 0.500 0.747
Pu 0.500 0.000 0.253
Pu 0.500 0.000 0.747
Pu 0.500 0.500 0.253
Pu 0.500 0.500 0.747
Ge 0.000 0.000 0.297
Ge 0.000 0.000 0.703
Ge 0.333 0.667 0.000
Ge 0.333 0.667 0.500
Ge 0.667 0.333 0.000
Ge 0.667 0.333 0.500

Space group: P6/mmm, No. 191
ΔH_f (0 K) in kcal/mol of atoms: -4.61